The following is a meta-GGA SCAN calculation of a crystal of Ba4As3 relaxed with PBEsol, from the Alexandria database.

Cell lengths 8.5412, 8.5412, 8.5412 Å; angles 109.47, 109.47, 109.47 degrees
With the nearest neighbours (Å) after each atom.
Sites, in units of the cell vectors:
Ba  0.5000  0.1414  0.5000  6 As 3.28-3.55
Ba  0.3586  0.3586  0.8586  6 As 3.28-3.55
Ba  0.6414  0.0000  0.0000  6 As 3.28-3.55
As  0.2500  0.8750  0.6250  8 Ba 3.28-3.55
Ba  0.1414  0.0000  0.0000  6 As 3.28-3.55
Ba  0.5000  0.6414  0.5000  6 As 3.28-3.55
As  0.1250  0.2500  0.3750  8 Ba 3.28-3.55
Ba  0.0000  0.5000  0.1414  6 As 3.28-3.55
As  0.6250  0.3750  0.2500  8 Ba 3.28-3.55
As  0.8750  0.1250  0.7500  8 Ba 3.28-3.55
As  0.7500  0.6250  0.8750  8 Ba 3.28-3.55
Ba  0.0000  0.5000  0.6414  6 As 3.28-3.55
Ba  0.8586  0.8586  0.3586  6 As 3.28-3.55
As  0.3750  0.7500  0.1250  8 Ba 3.28-3.55

Computed properties:
D(E_F): 1.291 states/eV/atom
Total DFT energy (no corrections): -454.5 eV for the cell shown
Symmetry: I-43d (220)
Calculated volume: 34.3 Å³/atom